This record from Alexandria describes an optimized crystal structure of Tb2MoO6. The functional is GGA+U.

Cell lengths 9.9804, 9.9804, 5.4258 Å; angles 104.89, 104.89, 68.23 degrees
Last column: nearest neighbours and their distance in Å.
Positions (direct):
Tb: 0.0533 0.2846 0.8789  6 O 2.21-2.47
Tb: 0.1070 0.8930 0.7500  6 O 2.25-2.39
Tb: 0.2846 0.0533 0.3789  6 O 2.21-2.47
Tb: 0.3644 0.6356 0.2500  8 O 2.25-2.51
Tb: 0.6356 0.3644 0.7500  8 O 2.25-2.51
Tb: 0.7154 0.9467 0.6211  6 O 2.21-2.47
Tb: 0.8930 0.1070 0.2500  6 O 2.25-2.39
Tb: 0.9467 0.7154 0.1211  6 O 2.21-2.47
Mo: 0.2032 0.4897 0.5610  4 O 1.82-1.86
Mo: 0.4897 0.2032 0.0610  4 O 1.82-1.86
Mo: 0.5103 0.7968 0.9390  4 O 1.82-1.86
Mo: 0.7968 0.5103 0.4390  4 O 1.82-1.86
O: 0.0678 0.4746 0.2571  1 Mo 1.86
O: 0.0740 0.1091 0.0777  4 Tb 2.21-2.39
O: 0.1091 0.0740 0.5777  4 Tb 2.21-2.39
O: 0.1622 0.6913 0.4172  1 Mo 2.20, 3 Tb 2.25-2.33
O: 0.1743 0.6162 0.8718  1 Mo 1.85
O: 0.2115 0.3180 0.6374  1 Mo 1.83
O: 0.3087 0.8378 0.0828  1 Mo 2.20, 3 Tb 2.25-2.33
O: 0.3180 0.2115 0.1374  1 Mo 1.83
O: 0.3838 0.8257 0.6282  1 Mo 1.85
O: 0.3886 0.4529 0.5158  1 Mo 1.82
O: 0.4529 0.3886 0.0158  1 Mo 1.82
O: 0.4746 0.0678 0.7571  1 Mo 1.86
O: 0.5254 0.9322 0.2429  1 Mo 1.86
O: 0.5471 0.6115 0.9842  1 Mo 1.82
O: 0.6115 0.5471 0.4842  1 Mo 1.82
O: 0.6162 0.1743 0.3718  1 Mo 1.85
O: 0.6820 0.7885 0.8626  1 Mo 1.83
O: 0.6913 0.1622 0.9172  1 Mo 2.20, 3 Tb 2.25-2.33
O: 0.7885 0.6820 0.3626  1 Mo 1.83
O: 0.8257 0.3838 0.1282  1 Mo 1.85
O: 0.8378 0.3087 0.5828  1 Mo 2.20, 3 Tb 2.25-2.33
O: 0.8909 0.9260 0.4223  4 Tb 2.21-2.39
O: 0.9260 0.8909 0.9223  4 Tb 2.21-2.39
O: 0.9322 0.5254 0.7429  1 Mo 1.86

SG: C2/c
Calculated total energy (eV per atom): -7.903
D(E_F) (states/eV per cell): 0.0